No. 1
VASP calculation (PBE-GGA) on crystalline Th4Ga2Au5 at its relaxed geometry.

```
data_Th4Ga2Au5
_symmetry_space_group_name_H-M 'P 1 2/m 1'
_symmetry_Int_Tables_number 10
_symmetry_space_group_name_Hall '-P 2y'
_cell_length_a 7.762
_cell_length_b 3.810
_cell_length_c 9.037
_cell_angle_alpha 90.00
_cell_angle_beta 94.49
_cell_angle_gamma 90.00
loop_
_atom_site_label
_atom_site_type_symbol
_atom_site_fract_x
_atom_site_fract_y
_atom_site_fract_z
Th1 Th 0.221 0.000 0.138
Th2 Th 0.265 0.000 0.629
Ga1 Ga 0.069 0.500 0.380
Au1 Au 0.123 0.500 0.878
Au2 Au 0.412 0.500 0.357
Au3 Au 0.500 0.500 0.000
```

## Properties
**DFT formation energy**: -0.603 eV per atom


No. 2
VASP calculation (PBE-GGA) on crystalline RbAgSb2Te at its relaxed geometry.

```
data_RbAgSb2Te
_symmetry_space_group_name_H-M 'P 4/m m m'
_symmetry_Int_Tables_number 123
_symmetry_space_group_name_Hall '-P 4 2'
_cell_length_a 6.100
_cell_length_b 6.100
_cell_length_c 6.196
_cell_angle_alpha 90.00
_cell_angle_beta 90.00
_cell_angle_gamma 90.00
loop_
_atom_site_label
_atom_site_type_symbol
_atom_site_fract_x
_atom_site_fract_y
_atom_site_fract_z
Rb1 Rb 0.000 0.000 0.000
Ag1 Ag 0.500 0.500 0.500
Sb1 Sb 0.000 0.500 0.000
Te1 Te 0.000 0.000 0.500
```

## Properties
**Energy relative to the lowest polymorph listed for this composition**: 1236 meV/atom
**E_form (uncorrected)**: 1.37 eV/atom


No. 3
VASP calculation (PBE-GGA) on crystalline LaMg2W at its relaxed geometry.

```
data_LaMg2W
_symmetry_space_group_name_H-M 'P 1 m 1'
_symmetry_Int_Tables_number 6
_symmetry_space_group_name_Hall 'P -2y'
_cell_length_a 3.095
_cell_length_b 3.954
_cell_length_c 7.724
_cell_angle_alpha 90.00
_cell_angle_beta 90.11
_cell_angle_gamma 90.00
loop_
_atom_site_label
_atom_site_type_symbol
_atom_site_fract_x
_atom_site_fract_y
_atom_site_fract_z
La1 La 0.000 0.000 0.000
Mg1 Mg 0.498 0.500 0.346
Mg2 Mg 0.998 0.000 0.565
W1 W 0.499 0.500 0.746
```

## Properties
**Energy relative to the lowest polymorph listed for this composition**: 85 meV/atom
**DFT formation energy**: 0.475 eV per atom


No. 4
VASP calculation (PBE-GGA) on crystalline TlRe2HgO8 at its relaxed geometry.

```
data_TlRe2HgO8
_symmetry_space_group_name_H-M 'C 1 2/m 1'
_symmetry_Int_Tables_number 12
_symmetry_space_group_name_Hall '-C 2y'
_cell_length_a 11.563
_cell_length_b 6.305
_cell_length_c 6.971
_cell_angle_alpha 90.00
_cell_angle_beta 111.09
_cell_angle_gamma 90.00
loop_
_atom_site_label
_atom_site_type_symbol
_atom_site_fract_x
_atom_site_fract_y
_atom_site_fract_z
Tl1 Tl 0.000 0.000 0.000
Re1 Re 0.209 0.000 0.684
Hg1 Hg 0.000 0.500 0.500
O1 O 0.129 0.500 0.218
O2 O 0.148 0.227 0.763
O3 O 0.158 0.000 0.415
```

## Properties
**E_form (uncorrected)**: -1.32 eV/atom